# LiLaGdSb (PBE-GGA, relaxed)
# calculated volume: 438.0 Å³ per cell
# formation energy without anion corrections: -0.505 eV/atom
data_LiLaGdSb
_chemical_formula_sum 'Li4 La4 Gd4 Sb4'
_cell_length_a 7.594
_cell_length_b 7.594
_cell_length_c 7.594
_cell_angle_alpha 90.00
_cell_angle_beta 90.00
_cell_angle_gamma 90.00
_space_group_name_H-M_alt 'F -4 3 m'
_space_group_IT_number 216
_space_group_name_Hall 'F -4 2 3'
loop_
_atom_site_label
_atom_site_fract_x
_atom_site_fract_y
_atom_site_fract_z
Li1 0.000 0.000 0.000
La1 0.250 0.250 0.750
Gd1 0.250 0.250 0.250
Sb1 0.000 0.000 0.500